Computed, not measured: crystalline Nb7Pd2C2 at its relaxed geometry at the GGA-PBE level of DFT.

## Properties
Size of the total moment ... 0.00 μB per atom
Raw total energy ... -99.98 eV for the cell shown
Symmetry ... C2/m, No. 12

Unit cell a=5.8261 b=5.8261 c=5.7659 alpha=95.04 beta=95.04 gamma=68.34
With the nearest neighbours (Å) after each atom.
Fractional positions:
Nb (0.0000, 0.0000, 0.0000)  2 C 2.22
Nb (0.0548, 0.5034, 0.7652)  2 C 2.18-2.19
Nb (0.4501, 0.4501, 0.2099)  1 C 2.26
Nb (0.4966, 0.9452, 0.2348)  2 C 2.18-2.19
Nb (0.5034, 0.0548, 0.7652)  2 C 2.18-2.19
Nb (0.5499, 0.5499, 0.7901)  1 C 2.26
Nb (0.9452, 0.4966, 0.2348)  2 C 2.18-2.19
Pd (0.1884, 0.8116, 0.5000)  1 Pd 2.47, 2 Nb 2.65
Pd (0.8116, 0.1884, 0.5000)  1 Pd 2.47, 2 Nb 2.65
C (0.2310, 0.2310, 0.0261)  6 Nb 2.18-2.26
C (0.7690, 0.7690, 0.9739)  6 Nb 2.18-2.26